Entry 1:
{"formula": "Cs4Rb2Zn", "functional": "PBE", "state": "relaxed", "polymorph_energy_kj_per_mol_atoms": 0.0, "sg": "I4/mcm, No. 140", "delta_e_f_ev_per_atom": 0.0620, "energy_ev_per_atom": -0.88, "lattice": [[7.998, 0.000, 2.667], [3.999, 11.974, 1.334], [0.211, 0.000, 12.692]], "species": ["Cs", "Cs", "Cs", "Cs", "Cs", "Cs", "Cs", "Cs", "Rb", "Rb", "Rb", "Rb", "Zn", "Zn"], "frac_coords": [[0.091, 0.096, 0.721], [0.187, 0.721, 0.904], [0.313, 0.096, 0.279], [0.687, 0.904, 0.721], [0.909, 0.904, 0.279], [0.591, 0.721, 0.096], [0.409, 0.279, 0.904], [0.813, 0.279, 0.096], [0.600, 0.299, 0.500], [0.100, 0.500, 0.299], [0.400, 0.701, 0.500], [0.900, 0.500, 0.701], [0.250, 0.000, 0.000], [0.750, 0.000, 0.000]]}

***

Entry 2:
{"formula": "CsRbZn2", "functional": "PBE", "state": "relaxed", "polymorph_energy_kj_per_mol_atoms": 8.4, "sg": "I-42d, No. 122", "delta_e_f_ev_per_atom": 0.3347, "energy_ev_per_atom": -0.76, "lattice": [[9.977, 0.000, 0.000], [0.000, 9.977, 0.000], [4.988, 4.988, 3.923]], "species": ["Rb", "Rb", "Cs", "Cs", "Zn", "Zn", "Zn", "Zn"], "frac_coords": [[0.500, 0.500, 0.000], [0.250, 0.750, 0.500], [0.750, 0.250, 0.500], [0.000, 0.000, 0.000], [0.134, 0.625, 0.250], [0.375, 0.384, 0.750], [0.875, 0.866, 0.750], [0.616, 0.125, 0.250]]}

***

Entry 3:
{"formula": "Cs8Rb6Zn", "functional": "PBE", "state": "relaxed", "sg": "R-3, No. 148", "delta_e_f_ev_per_atom": 0.0536, "energy_ev_per_atom": -0.87, "lattice": [[-5.782, -4.839, 9.480], [-10.500, -5.002, -3.382], [0.766, -12.088, -0.127]], "species": ["Rb", "Rb", "Rb", "Rb", "Rb", "Rb", "Cs", "Cs", "Cs", "Cs", "Cs", "Cs", "Cs", "Cs", "Zn"], "frac_coords": [[0.968, 0.545, 0.697], [0.697, 0.968, 0.545], [0.545, 0.697, 0.968], [0.032, 0.455, 0.303], [0.455, 0.303, 0.032], [0.303, 0.032, 0.455], [0.866, 0.154, 0.720], [0.280, 0.134, 0.846], [0.134, 0.846, 0.280], [0.154, 0.720, 0.866], [0.586, 0.586, 0.586], [0.414, 0.414, 0.414], [0.720, 0.866, 0.154], [0.846, 0.280, 0.134], [0.000, 0.000, 0.000]]}

***

Repeat the second record exactly.
{"formula": "CsRbZn2", "functional": "PBE", "state": "relaxed", "polymorph_energy_kj_per_mol_atoms": 8.4, "sg": "I-42d, No. 122", "delta_e_f_ev_per_atom": 0.3347, "energy_ev_per_atom": -0.76, "lattice": [[9.977, 0.000, 0.000], [0.000, 9.977, 0.000], [4.988, 4.988, 3.923]], "species": ["Rb", "Rb", "Cs", "Cs", "Zn", "Zn", "Zn", "Zn"], "frac_coords": [[0.500, 0.500, 0.000], [0.250, 0.750, 0.500], [0.750, 0.250, 0.500], [0.000, 0.000, 0.000], [0.134, 0.625, 0.250], [0.375, 0.384, 0.750], [0.875, 0.866, 0.750], [0.616, 0.125, 0.250]]}